VPNF2 | PBE with a Hubbard U | relaxed

**Calculated density**: 3.34 Mg/m³
**Energy above the most stable polymorph in this dataset**: 0.136 eV/atom
**Final energy**: -5.311 eV/atom

Cell lengths 4.480, 4.480, 3.321 Å; angles 90.00, 90.00, 90.00 degrees
Space group P4/mmm (No. 123)
Unique sites:
V  0.000  0.000  0.000
P  0.500  0.500  0.500
N  0.500  0.500  0.000
F  0.000  0.500  0.500